(1)
The following is a DFT calculation (GGA-PBE) of CsH2AuCl after structural relaxation.

- E_tot: -2.65 eV/atom

a b c (Å): 4.1910 7.8372 4.1910
angles (deg): 90.00 90.00 90.00
Closest atoms and distances in Å follow each position.
Atoms (fractional coordinates):
H (0.5000, 0.0000, 0.0000)  2 Au 2.10
H (0.0000, 0.0000, 0.5000)  2 Au 2.10
Cl (0.5000, 0.5000, 0.5000)  4 Cs 2.96
Cs (0.0000, 0.5000, 0.0000)  4 Cl 2.96
Au (0.0000, 0.0000, 0.0000)  4 H 2.10

***

(2)
The following is a DFT calculation (GGA-PBE) of Cs6H3AuCl2 after structural relaxation.

- E_tot: -2.63 eV/atom

a b c (Å): 4.7974 9.7092 10.8149
angles (deg): 103.32 102.81 90.00
Closest atoms and distances in Å follow each position.
Atoms (fractional coordinates):
Cs (0.6744, 0.0747, 0.3487)  3 H 3.23-3.36, 2 Cl 3.51, 1 Au 3.58
Cs (0.9954, 0.2731, 0.9908)  3 H 3.24-3.35, 1 Cl 3.52, 2 Au 3.59
Cs (0.3256, 0.9253, 0.6513)  3 H 3.23-3.36, 2 Cl 3.51, 1 Au 3.58
Cs (0.3372, 0.4063, 0.6744)  3 H 3.30-3.34, 3 Cl 3.49-3.50
Cs (0.0046, 0.7269, 0.0092)  3 H 3.24-3.35, 1 Cl 3.52, 2 Au 3.59
Cs (0.6628, 0.5937, 0.3256)  3 H 3.30-3.34, 3 Cl 3.49-3.50
H (0.8320, 0.1698, 0.6640)  6 Cs 3.23-3.36
H (0.1680, 0.8302, 0.3360)  6 Cs 3.23-3.36
H (0.5000, 0.5000, 0.0000)  6 Cs 3.24-3.34
Cl (0.1668, 0.3340, 0.3337)  6 Cs 3.49-3.52
Cl (0.8332, 0.6660, 0.6663)  6 Cs 3.49-3.52
Au (0.5000, 0.0000, 0.0000)  6 Cs 3.58-3.59

***

(3)
The following is a DFT calculation (GGA-PBE) of Cs4HgAu2Cl after structural relaxation.

- Formation energy without anion corrections: -0.652 eV/atom

a b c (Å): 5.1019 8.9665 9.3202
angles (deg): 71.89 90.00 90.00
Closest atoms and distances in Å follow each position.
Atoms (fractional coordinates):
Cs (0.5000, 0.2388, 0.7771)  3 Au 3.56-3.83, 1 Cl 3.58, 2 Hg 3.86
Cs (0.0000, 0.7505, 0.7655)  3 Au 3.58-3.77, 2 Cl 3.64, 1 Hg 3.82
Cs (0.0000, 0.2495, 0.2345)  3 Au 3.58-3.77, 2 Cl 3.64, 1 Hg 3.82
Cs (0.5000, 0.7612, 0.2229)  3 Au 3.56-3.83, 1 Cl 3.58, 2 Hg 3.86
Hg (0.0000, 0.5000, 0.5000)  6 Cs 3.82-3.86
Au (0.5000, 0.0000, 0.5000)  6 Cs 3.77-3.83
Au (0.0000, 0.0000, 0.0000)  6 Cs 3.56-3.58
Cl (0.5000, 0.5000, 0.0000)  6 Cs 3.58-3.64

***

(4)
The following is a DFT calculation (GGA-PBE) of Cs2HoAuCl6 after structural relaxation.

- Formation energy without anion corrections: -1.745 eV/atom

a b c (Å): 7.7086 7.7065 8.2934
angles (deg): 57.46 57.45 81.09
Closest atoms and distances in Å follow each position.
Atoms (fractional coordinates):
Cs (0.7500, 0.2497, 0.5003)  12 Cl 3.86-4.16
Cs (0.2501, 0.7503, 0.4997)  12 Cl 3.86-4.16
Cl (0.2669, 0.7340, 0.0000)  1 Au 2.34
Cl (0.2221, 0.2229, 0.9997)  1 Ho 2.60
Cl (0.7779, 0.7771, 0.0003)  1 Ho 2.60
Cl (0.7331, 0.2660, 0.0000)  1 Au 2.34
Cl (0.7772, 0.7772, 0.4448)  1 Ho 2.61
Cl (0.2228, 0.2228, 0.5552)  1 Ho 2.61
Au (0.5000, 0.5000, 0.0000)  2 Cl 2.34
Ho (0.0000, 0.0000, 0.0000)  6 Cl 2.60-2.67

***

(5)
The following is a DFT calculation (GGA-PBE) of Cs5AuI2Cl after structural relaxation.

- Formation energy without anion corrections: -1.144 eV/atom

a b c (Å): 5.4529 11.4838 17.6964
angles (deg): 90.00 90.00 103.73
Closest atoms and distances in Å follow each position.
Atoms (fractional coordinates):
I (0.9238, 0.8477, 0.1308)  6 Cs 3.80-3.92
I (0.1129, 0.2257, 0.2986)  6 Cs 4.05-4.33
I (0.8871, 0.7743, 0.7986)  6 Cs 4.05-4.33
I (0.0762, 0.1523, 0.6308)  6 Cs 3.80-3.92
Cl (0.4425, 0.8851, 0.4557)  5 Cs 3.38-3.60
Cl (0.5575, 0.1149, 0.9557)  5 Cs 3.38-3.60
Cs (0.0857, 0.1713, 0.0633)  2 Cl 3.38, 1 Au 3.53
Cs (0.3977, 0.7953, 0.9748)  1 Cl 3.58, 1 Au 3.65, 2 I 3.92
Cs (0.2856, 0.5712, 0.4095)  1 Cl 3.60, 2 Au 3.64
Cs (0.9143, 0.8287, 0.5633)  2 Cl 3.38, 1 Au 3.53
Cs (0.6023, 0.2047, 0.4748)  1 Cl 3.58, 1 Au 3.65, 2 I 3.92
Cs (0.4804, 0.9607, 0.2702)  1 Cl 3.39
Cs (0.2457, 0.4914, 0.6797)  2 Au 3.67, 1 I 3.88
Cs (0.7543, 0.5086, 0.1797)  2 Au 3.67, 1 I 3.88
Cs (0.7144, 0.4288, 0.9095)  1 Cl 3.60, 2 Au 3.64
Cs (0.5196, 0.0393, 0.7702)  1 Cl 3.39
Au (0.7570, 0.5139, 0.5413)  6 Cs 3.53-3.67
Au (0.2430, 0.4861, 0.0413)  6 Cs 3.53-3.67

***

(6)
The following is a DFT calculation (GGA-PBE) of Cs4AuI2Cl after structural relaxation.

- Formation energy without anion corrections: -1.338 eV/atom

a b c (Å): 5.3206 9.2696 9.2396
angles (deg): 70.75 90.00 90.00
Closest atoms and distances in Å follow each position.
Atoms (fractional coordinates):
I (0.0000, 0.0000, 0.0000)  6 Cs 3.91-3.92
I (0.5000, 0.0000, 0.5000)  6 Cs 3.85
Cl (0.0000, 0.5000, 0.5000)  6 Cs 3.63-3.65
Cs (0.0000, 0.2689, 0.2507)  1 Cl 3.63, 2 Au 3.71, 3 I 3.85-3.92
Cs (0.0000, 0.7311, 0.7493)  1 Cl 3.63, 2 Au 3.71, 3 I 3.85-3.92
Cs (0.5000, 0.2717, 0.7373)  2 Cl 3.65, 1 Au 3.71, 3 I 3.85-3.91
Cs (0.5000, 0.7283, 0.2627)  2 Cl 3.65, 1 Au 3.71, 3 I 3.85-3.91
Au (0.5000, 0.5000, 0.0000)  6 Cs 3.71

***

(7)
The following is a DFT calculation (GGA-PBE) of CsAuICl2 after structural relaxation.

- Formation energy without anion corrections: -0.839 eV/atom

a b c (Å): 5.3575 5.3575 5.6203
angles (deg): 90.00 90.00 90.00
Closest atoms and distances in Å follow each position.
Atoms (fractional coordinates):
Au (0.0000, 0.0000, 0.0000)  4 Cl 2.68, 2 I 2.81
Cl (0.0000, 0.5000, 0.0000)  2 Au 2.68
Cl (0.5000, 0.0000, 0.0000)  2 Au 2.68
I (0.0000, 0.0000, 0.5000)  2 Au 2.81
Cs (0.5000, 0.5000, 0.5000)  4 I 3.79, 8 Cl 3.88

***

(8)
The following is a DFT calculation (GGA-PBE) of Cs4AuICl after structural relaxation.

- Formation energy without anion corrections: -1.025 eV/atom

a b c (Å): 9.6304 9.5362 10.2215
angles (deg): 90.00 105.09 90.00
Closest atoms and distances in Å follow each position.
Atoms (fractional coordinates):
Cs (0.9836, 0.4882, 0.7315)  1 Cl 3.38, 2 Au 3.76-3.78
Cs (0.9836, 0.0118, 0.7315)  1 Cl 3.38, 2 Au 3.76-3.78
Cs (0.4802, 0.2500, 0.8644)  1 Cl 3.35
Cs (0.0164, 0.9882, 0.2685)  1 Cl 3.38, 2 Au 3.76-3.78
Cs (0.5257, 0.7500, 0.6258)  1 Cl 3.31, 1 Au 3.70
Cs (0.0164, 0.5118, 0.2685)  1 Cl 3.38, 2 Au 3.76-3.78
Cs (0.5198, 0.7500, 0.1356)  1 Cl 3.35
Cs (0.4743, 0.2500, 0.3743)  1 Cl 3.31, 1 Au 3.70
I (0.8338, 0.7500, 0.9560)  6 Cs 3.87-3.94
I (0.1662, 0.2500, 0.0440)  6 Cs 3.87-3.94
Au (0.1769, 0.2500, 0.5415)  6 Cs 3.70-3.80
Au (0.8231, 0.7500, 0.4585)  6 Cs 3.70-3.80
Cl (0.7138, 0.2500, 0.6726)  4 Cs 3.31-3.38
Cl (0.2862, 0.7500, 0.3274)  4 Cs 3.31-3.38

***

(9)
The following is a DFT calculation (GGA-PBE) of Cs6Au2I3Cl after structural relaxation.

- Formation energy without anion corrections: -1.203 eV/atom

a b c (Å): 9.2705 9.2705 9.3070
angles (deg): 99.56 99.56 119.97
Closest atoms and distances in Å follow each position.
Atoms (fractional coordinates):
I (0.1695, 0.8305, 0.5000)  6 Cs 3.85-3.92
I (0.8305, 0.1695, 0.5000)  6 Cs 3.85-3.92
I (0.5000, 0.5000, 0.5000)  6 Cs 3.85-3.95
Au (0.3340, 0.6660, 0.0000)  6 Cs 3.74
Au (0.6660, 0.3340, 0.0000)  6 Cs 3.74
Cs (0.9228, 0.5987, 0.7684)  1 Cl 3.63, 2 Au 3.74, 3 I 3.85-3.92
Cs (0.7540, 0.7540, 0.2333)  1 Cl 3.63, 2 Au 3.74, 3 I 3.87-3.95
Cs (0.4013, 0.0772, 0.2316)  1 Cl 3.63, 2 Au 3.74, 3 I 3.85-3.92
Cs (0.0772, 0.4013, 0.2316)  1 Cl 3.63, 2 Au 3.74, 3 I 3.85-3.92
Cs (0.2460, 0.2460, 0.7667)  1 Cl 3.63, 2 Au 3.74, 3 I 3.87-3.95
Cs (0.5987, 0.9228, 0.7684)  1 Cl 3.63, 2 Au 3.74, 3 I 3.85-3.92
Cl (0.0000, 0.0000, 0.0000)  6 Cs 3.63

***

(10)
The following is a DFT calculation (GGA-PBE) of CsAuICl6 after structural relaxation.

- Formation energy without anion corrections: -0.609 eV/atom

a b c (Å): 8.6619 6.9487 6.7420
angles (deg): 71.22 86.42 79.10
Closest atoms and distances in Å follow each position.
Atoms (fractional coordinates):
Cs (0.9021, 0.9691, 0.9048)  7 Cl 3.47-3.81
Cl (0.8746, 0.5038, 0.8337)  1 Au 2.41
Cl (0.1684, 0.4519, 0.1506)  1 I 2.45
Cl (0.5411, 0.3394, 0.7545)  1 Au 2.48, 1 I 2.68
Cl (0.7653, 0.9523, 0.4072)  1 Au 2.38
Cl (0.2684, 0.0453, 0.6410)  1 I 2.46
Cl (0.4655, 0.7200, 0.2892)  1 Au 2.54, 1 I 2.65
Au (0.6698, 0.6386, 0.5726)  4 Cl 2.38-2.54
I (0.3445, 0.3795, 0.4463)  4 Cl 2.45-2.68

***

(11)
The following is a DFT calculation (GGA-PBE) of CsIn2AuCl8 after structural relaxation.

- Formation energy without anion corrections: -1.046 eV/atom

a b c (Å): 7.1486 7.8834 9.7469
angles (deg): 61.18 68.49 63.04
Closest atoms and distances in Å follow each position.
Atoms (fractional coordinates):
Cl (0.3472, 0.0167, 0.7778)  1 In 2.44, 1 Au 2.64
Cl (0.6528, 0.9833, 0.2222)  1 In 2.44, 1 Au 2.64
Cl (0.3111, 0.4791, 0.8987)  1 In 2.37
Cl (0.8711, 0.6117, 0.6461)  1 In 2.38
Cl (0.1417, 0.9833, 0.2222)  1 In 2.44, 1 Au 2.64
Cl (0.6889, 0.5209, 0.1013)  1 In 2.37
Cl (0.8583, 0.0167, 0.7778)  1 In 2.44, 1 Au 2.64
Cl (0.1289, 0.3883, 0.3539)  1 In 2.38
Au (0.0000, 0.0000, 0.0000)  4 Cl 2.64
In (0.6975, 0.7687, 0.8363)  4 Cl 2.37-2.44
In (0.3025, 0.2313, 0.1637)  4 Cl 2.37-2.44
Cs (0.5000, 0.5000, 0.5000)  6 Cl 3.56-3.83

***

(12)
The following is a DFT calculation (GGA-PBE) of Cs2KAuCl6 after structural relaxation.

- Formation energy without anion corrections: -1.245 eV/atom

a b c (Å): 7.9940 7.9940 7.7809
angles (deg): 59.09 59.09 90.00
Closest atoms and distances in Å follow each position.
Atoms (fractional coordinates):
K (0.5000, 0.5000, 0.0000)  6 Cl 3.00-3.03
Au (0.0000, 0.0000, 0.0000)  2 Cl 2.32
Cl (0.7831, 0.7831, 0.4339)  1 Au 2.32
Cl (0.2346, 0.7654, 0.0000)  1 Au 2.65
Cl (0.7654, 0.2346, 0.0000)  1 Au 2.65
Cl (0.2346, 0.2346, 0.0000)  1 Au 2.65
Cl (0.2169, 0.2169, 0.5661)  1 Au 2.32
Cl (0.7654, 0.7654, 0.0000)  1 Au 2.65
Cs (0.7500, 0.2500, 0.5000)  12 Cl 3.89-4.01
Cs (0.2500, 0.7500, 0.5000)  12 Cl 3.89-4.01

***

Number 1: calculated volume 137.7 Å³ per cell, M_tot 0.0 μB/f.u.. Number 2: calculated volume 477.3 Å³ per cell, M_tot 0.1 μB/f.u.. Number 3: calculated volume 405.2 Å³ per cell, M_tot 0.0 μB/f.u.. Number 4: calculated volume 343.8 Å³ per cell, M_tot 0.0 μB/f.u.. Number 5: calculated volume 1076.5 Å³ per cell, M_tot 0.4 μB/f.u.. Number 6: calculated volume 430.2 Å³ per cell, M_tot 0.0 μB/f.u.. Number 7: calculated volume 161.3 Å³ per cell, M_tot 0.0 μB/f.u.. Number 8: calculated volume 906.3 Å³ per cell, M_tot 0.0 μB/f.u.. Number 9: calculated volume 653.6 Å³ per cell, M_tot 0.0 μB/f.u.. Number 10: calculated volume 377.3 Å³ per cell, M_tot 1.0 μB/f.u.. Number 11: calculated volume 421.2 Å³ per cell, M_tot 0.0 μB/f.u.. Number 12: calculated volume 341.7 Å³ per cell, M_tot 0.0 μB/f.u..